The following is a PBEsol calculation of Li2LaCd2 after structural relaxation, from the Alexandria database.

Cell and atoms, written as extended XYZ:
```
10
Lattice="8.3139 0.0000 0.0000 0.0000 8.3139 0.0000 0.0000 0.0000 3.1057" Properties=species:S:1:pos:R:3 pbc="T T T"
Li 0.9702 3.1868 0.0000
Li 3.1868 7.3437 0.0000
Li 5.1271 0.9702 0.0000
Li 7.3437 5.1271 0.0000
La 0.0000 0.0000 0.0000
La 4.1569 4.1569 0.0000
Cd 1.4722 5.6292 1.5529
Cd 2.6847 1.4722 1.5529
Cd 5.6292 6.8416 1.5529
Cd 6.8416 2.6847 1.5529
```

ΔE to the lowest computed polymorph: 0.0000 eV per atom
spin magnetization: 0.000 μB per atom

The following is a PBEsol calculation of LaZnCdW2 after structural relaxation, from the Alexandria database.

Cell and atoms, written as extended XYZ:
```
5
Lattice="4.7631 0.0000 0.0000 0.0000 4.7631 0.0000 0.0000 0.0000 4.7285" Properties=species:S:1:pos:R:3 pbc="T T T"
La 0.0000 0.0000 0.0000
Zn 2.3816 2.3816 2.3642
Cd 2.3816 2.3816 0.0000
W 0.0000 2.3816 2.3642
W 2.3816 0.0000 2.3642
```

E: -5.874 eV/atom
spin magnetization: 0.000 μB per atom

The following is a PBEsol calculation of CaMnO2 after structural relaxation, from the Alexandria database.

Cell and atoms, written as extended XYZ:
```
4
Lattice="1.6337 0.9432 5.1973 -1.6337 0.9432 5.1973 0.0000 -1.8865 5.1973" Properties=species:S:1:pos:R:3 pbc="T T T"
Ca 0.0000 0.0000 0.0000
Mn 0.0000 0.0000 7.7960
O 0.0000 0.0000 3.8154
O 0.0000 0.0000 11.7765
```

formation energy without anion corrections: -2050 meV per atom
spin magnetization: 1.250 μB per atom

The following is a PBEsol calculation of Tl2Te after structural relaxation, from the Alexandria database.

Cell and atoms, written as extended XYZ:
```
3
Lattice="-1.9844 1.9844 5.8675 1.9844 -1.9844 5.8675 1.9844 1.9844 -5.8675" Properties=species:S:1:pos:R:3 pbc="T T T"
Tl 0.0000 0.0000 1.7814
Tl 0.0000 0.0000 9.9536
Te 0.0000 0.0000 5.8675
```

ΔE to the lowest computed polymorph: 0.0707 eV per atom
formation energy without anion corrections: -176 meV per atom
spin magnetization: 0.000 μB per atom

The following is a PBEsol calculation of Co3WO8 after structural relaxation, from the Alexandria database.

Cell and atoms, written as extended XYZ:
```
24
Lattice="5.6130 0.0000 0.0000 -2.8065 4.8610 0.0000 0.0000 0.0000 8.9127" Properties=species:S:1:pos:R:3 pbc="T T T"
Co 0.0000 1.6384 0.0000
Co -1.3876 4.0418 0.0000
Co 1.4189 0.8192 4.4563
Co 1.3876 4.0418 0.0000
Co 4.1941 0.8192 4.4563
Co 2.8065 3.2226 4.4563
W 0.0000 3.2407 6.4089
W 2.8065 1.6203 1.9526
O 0.0000 0.0000 3.6438
O 0.0000 0.0000 8.1002
O -1.2437 2.5227 7.8427
O 0.0000 1.6266 5.4984
O -1.3979 4.0478 5.4984
O 0.0000 3.2407 0.9253
O 1.4086 0.8133 1.0421
O 1.2437 2.5227 7.8427
O 0.0000 4.6768 7.8427
O 2.8065 0.1843 3.3864
O 1.5628 2.3384 3.3864
O 1.3979 4.0478 5.4984
O 2.8065 1.6203 5.3816
O 4.2044 0.8133 1.0421
O 2.8065 3.2345 1.0421
O 4.0502 2.3384 3.3864
```

formation energy without anion corrections: -1308 meV per atom
spin magnetization: 0.089 μB per atom

The following is a PBEsol calculation of BaLa2Fe after structural relaxation, from the Alexandria database.

Cell and atoms, written as extended XYZ:
```
4
Lattice="-2.6644 2.6644 3.9382 2.6644 -2.6644 3.9382 2.6644 2.6644 -3.9382" Properties=species:S:1:pos:R:3 pbc="T T T"
Ba 0.0000 0.0000 0.0000
La 2.6644 0.0000 1.9691
La 0.0000 2.6644 1.9691
Fe 0.0000 0.0000 3.9382
```

E: -4.896 eV/atom
spin magnetization: 0.442 μB per atom

The following is a PBEsol calculation of KTlZn2 after structural relaxation, from the Alexandria database.

Cell and atoms, written as extended XYZ:
```
4
Lattice="4.6172 0.0000 0.0000 -2.2815 4.0668 0.0000 -0.0394 -2.6540 5.9355" Properties=species:S:1:pos:R:3 pbc="T T T"
K 0.0000 0.0000 0.0000
Tl 2.2889 -1.3270 2.9678
Zn -0.0179 0.0471 3.4834
Zn 2.3143 1.3657 2.4521
```

ΔE to the lowest computed polymorph: 0.0000 eV per atom
spin magnetization: 0.000 μB per atom

The following is a PBEsol calculation of CsCeCuS3 after structural relaxation, from the Alexandria database.

Cell and atoms, written as extended XYZ:
```
12
Lattice="1.9973 -7.5002 0.0000 1.9973 7.5002 0.0000 0.0000 0.0000 10.3167" Properties=species:S:1:pos:R:3 pbc="T T T"
Cs 1.9973 3.8901 7.7375
Cs 1.9973 -3.8901 2.5792
Ce 1.9973 0.0000 0.0000
Ce 1.9973 0.0000 5.1583
Cu 1.9973 7.0180 2.5792
Cu 1.9973 -7.0180 7.7375
S 1.9973 5.7899 0.6575
S 1.9973 5.7899 4.5008
S 1.9973 0.7931 2.5792
S 1.9973 -0.7931 7.7375
S 1.9973 -5.7899 5.8159
S 1.9973 -5.7899 9.6591
```

formation energy without anion corrections: -1425 meV per atom
spin magnetization: 0.000 μB per atom

The following is a PBEsol calculation of TaMn2Fe after structural relaxation, from the Alexandria database.

Cell and atoms, written as extended XYZ:
```
4
Lattice="3.0205 0.0000 0.0000 0.0000 4.0417 0.0000 0.0000 0.0000 4.0558" Properties=species:S:1:pos:R:3 pbc="T T T"
Ta 0.0000 0.0000 0.0000
Mn 0.0000 2.0209 2.0279
Mn 1.5102 0.0000 2.0279
Fe 1.5102 2.0209 0.0000
```

E: -10.268 eV/atom
spin magnetization: 0.774 μB per atom

The following is a PBEsol calculation of MnWN2 after structural relaxation, from the Alexandria database.

Cell and atoms, written as extended XYZ:
```
4
Lattice="0.0000 2.6029 2.6029 2.6029 0.0000 2.6029 2.6029 2.6029 0.0000" Properties=species:S:1:pos:R:3 pbc="T T T"
Mn 0.0000 0.0000 0.0000
W 2.6029 2.6029 2.6029
N 1.3014 1.3014 1.3014
N 3.9043 3.9043 3.9043
```

formation energy without anion corrections: 139 meV per atom
spin magnetization: 0.668 μB per atom

The following is a PBEsol calculation of AlPt2Rh after structural relaxation, from the Alexandria database.

Cell and atoms, written as extended XYZ:
```
4
Lattice="2.7111 -3.7544 0.0000 2.7111 3.7544 0.0000 0.0000 0.0000 2.7825" Properties=species:S:1:pos:R:3 pbc="T T T"
Al 0.0000 0.0000 0.0000
Pt 1.3555 1.8772 1.3913
Pt 1.3555 -1.8772 1.3913
Rh 2.7111 0.0000 0.0000
```

E: -7.128 eV/atom
spin magnetization: 0.000 μB per atom

The following is a PBEsol calculation of Al2B3HO8 after structural relaxation, from the Alexandria database.

Cell and atoms, written as extended XYZ:
```
56
Lattice="7.6066 0.0000 0.0000 0.0000 10.5563 0.0000 0.0000 0.0000 8.7779" Properties=species:S:1:pos:R:3 pbc="T T T"
Al 0.4369 1.2161 0.6002
Al 0.4369 4.0621 0.6002
Al 3.3664 6.4942 4.9892
Al 3.3664 9.3403 4.9892
Al 4.2402 1.2161 3.7887
Al 4.2402 4.0621 3.7887
Al 7.1696 6.4942 8.1777
Al 7.1696 9.3403 8.1777
B 1.7607 7.9173 2.9674
B 1.8817 0.1959 7.0153
B 1.8817 5.0822 7.0153
B 1.9216 5.4741 2.6263
B 1.9216 10.3604 2.6263
B 2.0426 2.6391 7.3563
B 5.5640 7.9173 1.4216
B 5.6850 0.1959 6.1516
B 5.6850 5.0822 6.1516
B 5.7249 5.4741 1.7627
B 5.7249 10.3604 1.7627
B 5.8459 2.6391 5.8105
H 1.3652 7.9173 7.1275
H 2.4381 2.6391 2.7385
H 5.1685 7.9173 6.0394
H 6.2414 2.6391 1.6505
O 0.5893 7.9173 7.7303
O 0.9024 0.0735 8.0020
O 0.9024 5.2047 8.0020
O 1.3333 2.6391 8.5289
O 1.3900 6.7386 2.3617
O 1.3900 9.0959 2.3617
O 1.5259 0.8817 1.9388
O 1.5259 4.3964 1.9388
O 2.2774 6.1599 6.3277
O 2.2774 9.6746 6.3277
O 2.4133 1.4604 6.7506
O 2.4133 3.8177 6.7506
O 2.4700 7.9173 4.1399
O 2.9008 5.3516 3.6131
O 2.9008 10.4829 3.6131
O 3.2139 2.6391 3.3414
O 4.3926 7.9173 5.4366
O 4.7057 0.0735 5.1649
O 4.7057 5.2047 5.1649
O 5.1366 2.6391 4.6380
O 5.1933 6.7386 2.0273
O 5.1933 9.0959 2.0273
O 5.3291 0.8817 2.4502
O 5.3291 4.3964 2.4502
O 6.0807 6.1599 6.8392
O 6.0807 9.6746 6.8392
O 6.2166 1.4604 6.4163
O 6.2166 3.8177 6.4163
O 6.2733 7.9173 0.2490
O 6.7041 5.3516 0.7759
O 6.7041 10.4829 0.7759
O 7.0172 2.6391 1.0476
```

E: -7.843 eV/atom
spin magnetization: 0.000 μB per atom

Repeat the second record exactly.
The following is a PBEsol calculation of LaZnCdW2 after structural relaxation, from the Alexandria database.

Cell and atoms, written as extended XYZ:
```
5
Lattice="4.7631 0.0000 0.0000 0.0000 4.7631 0.0000 0.0000 0.0000 4.7285" Properties=species:S:1:pos:R:3 pbc="T T T"
La 0.0000 0.0000 0.0000
Zn 2.3816 2.3816 2.3642
Cd 2.3816 2.3816 0.0000
W 0.0000 2.3816 2.3642
W 2.3816 0.0000 2.3642
```

E: -5.874 eV/atom
spin magnetization: 0.000 μB per atom